DFT (PBE) results for a relaxed HgSbSe2N crystal.

The structure belongs to space group P4/mmm (No. 123); the cell edges are 5.407, 5.407 and 4.102 Å and the angles 90.00°, 90.00° and 90.00°. The distinct sites, in fractional coordinates, are Hg at (0.000, 0.000, 0.000), Sb at (0.500, 0.500, 0.500), Se at (0.000, 0.500, 0.000) and N at (0.000, 0.000, 0.500).

Its density of states at the Fermi level is 3.01 states/eV/cell. The total energy is -2.8439 eV/atom.

***

DFT (PBE) results for a relaxed K4MoAs crystal.

The structure belongs to space group F-43m (No. 216); the cell edges are 9.660, 9.660 and 9.660 Å and the angles 90.00°, 90.00° and 90.00°. The distinct sites, in fractional coordinates, are K at (0.123, 0.123, 0.377), Mo at (0.000, 0.000, 0.000) and As at (0.250, 0.250, 0.750).

The formation energy from the elements is 1012.1 meV/atom. Its density of states at the Fermi level is 9.74 states/eV/cell.

***

DFT (PBE) results for a relaxed Zn12In2Au7 crystal.

The structure belongs to space group P-6 (No. 174); the cell edges are 11.2716, 11.2716 and 3.3581 Å and the angles 90.00°, 90.00° and 120.00°. The distinct sites, in fractional coordinates, are Zn at (0.0532, 0.2797, 0.0000), Zn at (0.1199, 0.7298, 0.5000), Zn at (0.4028, 0.1551, 0.5000), Zn at (0.5059, 0.3986, 0.0000), In at (0.0000, 0.0000, 0.5000), In at (0.3333, 0.6667, 0.0000), Au at (0.0854, 0.4841, 0.5000), Au at (0.2354, 0.1888, 0.0000) and Au at (0.6667, 0.3333, 0.5000).

The formation energy from the elements is -152.0 meV/atom. Its density of states at the Fermi level is 7.90 states/eV/cell.

***

DFT (PBE) results for a relaxed Be2CoAu crystal.

The structure belongs to space group I-42d (No. 122); the cell edges are 3.678, 3.678 and 15.019 Å and the angles 90.00°, 90.00° and 90.00°. The distinct sites, in fractional coordinates, are Be at (0.192, 0.250, 0.125), Co at (0.000, 0.000, 0.000) and Au at (0.000, 0.000, 0.500).

The formation energy from the elements is 340.3 meV/atom. Its density of states at the Fermi level is 13.86 states/eV/cell.

***

DFT (PBE) results for a relaxed PrSnGe2Rh5 crystal.

The structure belongs to space group P4/mmm (No. 123); the cell edges are 4.138, 4.138 and 10.556 Å and the angles 90.00°, 90.00° and 90.00°. The distinct sites, in fractional coordinates, are Pr at (0.000, 0.000, 0.000), Sn at (0.000, 0.000, 0.500), Ge at (0.500, 0.500, 0.225), Rh at (0.000, 0.500, 0.343) and Rh at (0.500, 0.500, 0.000).

The formation energy from the elements is -433.9 meV/atom. Its density of states at the Fermi level is 4.15 states/eV/cell.

***

DFT (PBE) results for a relaxed ScHRh3 crystal.

The structure belongs to space group Ima2 (No. 46); the cell edges are 7.794, 5.689 and 5.664 Å and the angles 90.00°, 90.00° and 90.00°. The distinct sites, in fractional coordinates, are Sc at (0.250, 0.025, 0.000), H at (0.250, 0.749, 0.751), Rh at (0.001, 0.750, 0.250) and Rh at (0.250, 0.501, 0.000).

Its density of states at the Fermi level is 16.07 states/eV/cell. The total energy is -6.8826 eV/atom.

***

DFT (PBE) results for a relaxed Co2TeRh crystal.

The structure belongs to space group I-4m2 (No. 119); the cell edges are 3.863, 3.863 and 7.565 Å and the angles 90.00°, 90.00° and 90.00°. The distinct sites, in fractional coordinates, are Co at (0.000, 0.000, 0.000), Co at (0.000, 0.500, 0.250), Te at (0.000, 0.500, 0.750) and Rh at (0.000, 0.000, 0.500).

Its density of states at the Fermi level is 6.77 states/eV/cell. The total energy is -6.0341 eV/atom.

***

DFT (PBE) results for a relaxed LaGa5Cu2Pd crystal.

The structure belongs to space group P4/mmm (No. 123); the cell edges are 4.339, 4.339 and 9.669 Å and the angles 90.00°, 90.00° and 90.00°. The distinct sites, in fractional coordinates, are La at (0.000, 0.000, 0.000), Ga at (0.000, 0.500, 0.347), Ga at (0.500, 0.500, 0.000), Cu at (0.500, 0.500, 0.234) and Pd at (0.000, 0.000, 0.500).

The formation energy from the elements is -212.8 meV/atom. Its density of states at the Fermi level is 5.41 states/eV/cell.

***

DFT (PBE) results for a relaxed Nd2Cd5Ag3 crystal.

The structure belongs to space group Cmc2_1 (No. 36); the cell edges are 4.849, 26.369 and 7.387 Å and the angles 90.00°, 90.00° and 90.00°. The distinct sites, in fractional coordinates, are Nd at (0.000, 0.016, 0.000), Nd at (0.000, 0.325, 0.072), Cd at (0.000, 0.106, 0.330), Cd at (0.000, 0.201, 0.902), Cd at (0.000, 0.214, 0.300), Cd at (0.000, 0.377, 0.507), Cd at (0.000, 0.449, 0.191), Ag at (0.000, 0.107, 0.725), Ag at (0.000, 0.272, 0.611) and Ag at (0.000, 0.448, 0.796).

The formation energy from the elements is -228.3 meV/atom. Its density of states at the Fermi level is 24.49 states/eV/cell.

***

DFT (PBE) results for a relaxed Li2SiRh crystal.

The structure belongs to space group Pmmm (No. 47); the cell edges are 2.875, 4.049 and 4.412 Å and the angles 90.00°, 90.00° and 90.00°. The distinct sites, in fractional coordinates, are Li at (0.000, 0.000, 0.000), Li at (0.500, 0.500, 0.000), Si at (0.000, 0.500, 0.500) and Rh at (0.500, 0.000, 0.500).

Its density of states at the Fermi level is 1.35 states/eV/cell. The total energy is -4.6241 eV/atom.

***

DFT (PBE) results for a relaxed PmTa2O7 crystal.

The structure belongs to space group Cmmm (No. 65); the cell edges are 6.343, 10.166 and 3.826 Å and the angles 90.00°, 90.00° and 90.00°. The distinct sites, in fractional coordinates, are Pm at (0.000, 0.000, 0.000), Ta at (0.000, 0.302, 0.500), O at (0.000, 0.271, 0.000), O at (0.000, 0.500, 0.500) and O at (0.193, 0.131, 0.500).

Its density of states at the Fermi level is 1.28 states/eV/cell. The total energy is -9.0780 eV/atom.

***

DFT (PBE) results for a relaxed Hf2HgPt crystal.

The structure belongs to space group R-3m (No. 166, hexagonal axes); the cell edges are 3.5609, 3.5609 and 24.0459 Å and the angles 90.00°, 90.00° and 120.00°. The distinct sites, in fractional coordinates, are Hf at (0.0000, 0.0000, 0.2385), Hg at (0.0000, 0.0000, 0.0000) and Pt at (0.0000, 0.0000, 0.5000).

The formation energy from the elements is -380.1 meV/atom. Its density of states at the Fermi level is 7.27 states/eV/cell.

***

Please write out number 5 again, unchanged.
DFT (PBE) results for a relaxed PrSnGe2Rh5 crystal.

The structure belongs to space group P4/mmm (No. 123); the cell edges are 4.138, 4.138 and 10.556 Å and the angles 90.00°, 90.00° and 90.00°. The distinct sites, in fractional coordinates, are Pr at (0.000, 0.000, 0.000), Sn at (0.000, 0.000, 0.500), Ge at (0.500, 0.500, 0.225), Rh at (0.000, 0.500, 0.343) and Rh at (0.500, 0.500, 0.000).

The formation energy from the elements is -433.9 meV/atom. Its density of states at the Fermi level is 4.15 states/eV/cell.